First-principles (PBE-GGA) data for a relaxed structure of SrMg2TaRe, as listed in Alexandria.

Values from the calculation:
**Crystal system**: tetragonal
**DFT total energy**: -16.8 eV/cell
**M_tot**: 0.4 μB per formula unit

Cell: 4.960 4.960 4.829 Å, 90.00 90.00 90.00°
Space group P4/mmm (No. 123)
Inequivalent atoms, fractional coordinates:
Sr 0.000 0.000 0.000 [1 per cell]
Mg 0.000 0.500 0.000 [2 per cell]
Ta 0.500 0.500 0.500 [1 per cell]
Re 0.000 0.000 0.500 [1 per cell]

---

First-principles (PBE-GGA) data for a relaxed structure of RuPt, as listed in Alexandria.

Values from the calculation:
**Crystal system**: hexagonal
**DFT total energy**: -77.3 eV/cell
**M_tot**: 0.0 μB per formula unit

Cell: 10.0436 10.0436 3.6766 Å, 90.00 90.00 120.00°
Space group P6_3/m (No. 176)
Inequivalent atoms, fractional coordinates:
Ru 0.0862 0.4218 0.2500 [6 per cell]
Pt 0.0983 0.6716 0.2500 [6 per cell]

---

First-principles (PBE-GGA) data for a relaxed structure of MnVHg2Te, as listed in Alexandria.

Values from the calculation:
**Crystal system**: tetragonal
**DFT total energy**: -16.4 eV/cell
**M_tot**: 0.1 μB per formula unit

Cell: 5.070 5.070 4.775 Å, 90.00 90.00 90.00°
Space group P4/mmm (No. 123)
Inequivalent atoms, fractional coordinates:
Mn 0.000 0.000 0.000 [1 per cell]
V 0.500 0.500 0.500 [1 per cell]
Hg 0.000 0.500 0.000 [2 per cell]
Te 0.000 0.000 0.500 [1 per cell]

---

First-principles (PBE-GGA) data for a relaxed structure of LaMnIn2, as listed in Alexandria.

Values from the calculation:
**Crystal system**: cubic
**DFT total energy**: -77.8 eV/cell
**M_tot**: 3.6 μB per formula unit

Cell: 7.330 7.330 7.330 Å, 90.00 90.00 90.00°
Space group F-43m (No. 216)
Inequivalent atoms, fractional coordinates:
La 0.000 0.000 0.000 [4 per cell]
Mn 0.250 0.250 0.750 [4 per cell]
In 0.000 0.000 0.500 [4 per cell]
In 0.250 0.250 0.250 [4 per cell]

---

First-principles (PBE-GGA) data for a relaxed structure of TaNi2Ru, as listed in Alexandria.

Values from the calculation:
**Crystal system**: cubic
**DFT total energy**: -132.4 eV/cell
**M_tot**: 0.8 μB per formula unit

Cell: 6.022 6.022 6.022 Å, 90.00 90.00 90.00°
Space group F-43m (No. 216)
Inequivalent atoms, fractional coordinates:
Ta 0.000 0.000 0.000 [4 per cell]
Ni 0.000 0.000 0.500 [4 per cell]
Ni 0.250 0.250 0.250 [4 per cell]
Ru 0.250 0.250 0.750 [4 per cell]

---

First-principles (PBE-GGA) data for a relaxed structure of NaP2S2, as listed in Alexandria.

Values from the calculation:
**Crystal system**: tetragonal
**DFT total energy**: -19.4 eV/cell
**M_tot**: 0.0 μB per formula unit

Cell: 4.758 4.758 4.414 Å, 90.00 90.00 90.00°
Space group P4/mmm (No. 123)
Inequivalent atoms, fractional coordinates:
Na 0.000 0.000 0.000 [1 per cell]
P 0.500 0.500 0.000 [1 per cell]
P 0.500 0.500 0.500 [1 per cell]
S 0.000 0.500 0.500 [2 per cell]

---

First-principles (PBE-GGA) data for a relaxed structure of AsH2Ir, as listed in Alexandria.

Values from the calculation:
**Crystal system**: monoclinic
**DFT total energy**: -40.0 eV/cell
**M_tot**: 0.0 μB per formula unit

Cell: 7.989 2.970 4.179 Å, 90.00 116.43 90.00°
Space group Cm (No. 8)
Inequivalent atoms, fractional coordinates:
As 0.000 0.000 0.000 [2 per cell]
H 0.176 0.500 0.569 [2 per cell]
H 0.418 0.000 0.452 [2 per cell]
Ir 0.287 0.500 0.332 [2 per cell]

---

First-principles (PBE-GGA) data for a relaxed structure of NdY2F, as listed in Alexandria.

Values from the calculation:
**Crystal system**: trigonal
**DFT total energy**: -69.5 eV/cell
**M_tot**: 0.0 μB per formula unit

Cell: 3.6387 3.6387 28.3134 Å, 90.00 90.00 120.00°
Space group R-3m (No. 166, hexagonal axes)
Inequivalent atoms, fractional coordinates:
Nd 0.0000 0.0000 0.0000 [3 per cell]
Y 0.0000 0.0000 0.1187 [6 per cell]
F 0.0000 0.0000 0.5000 [3 per cell]

---

First-principles (PBE-GGA) data for a relaxed structure of TlTcW2, as listed in Alexandria.

Values from the calculation:
**Crystal system**: cubic
**DFT total energy**: -138.8 eV/cell
**M_tot**: 0.0 μB per formula unit

Cell: 6.502 6.502 6.502 Å, 90.00 90.00 90.00°
Space group Fm-3m (No. 225)
Inequivalent atoms, fractional coordinates:
Tl 0.000 0.000 0.000 [4 per cell]
Tc 0.000 0.000 0.500 [4 per cell]
W 0.250 0.250 0.250 [8 per cell]

---

First-principles (PBE-GGA) data for a relaxed structure of NaHg2Pd4, as listed in Alexandria.

Values from the calculation:
**Crystal system**: monoclinic
**DFT total energy**: -44.2 eV/cell
**M_tot**: 0.0 μB per formula unit

Cell: 10.938 4.919 5.117 Å, 90.00 104.76 90.00°
Space group C2/m (No. 12)
Inequivalent atoms, fractional coordinates:
Na 0.000 0.000 0.000 [2 per cell]
Hg 0.147 0.500 0.585 [4 per cell]
Pd 0.000 0.000 0.500 [2 per cell]
Pd 0.000 0.500 0.000 [2 per cell]
Pd 0.239 0.000 0.853 [4 per cell]

---

First-principles (PBE-GGA) data for a relaxed structure of Fe5P, as listed in Alexandria.

Values from the calculation:
**Crystal system**: cubic
**DFT total energy**: -184.6 eV/cell
**M_tot**: 11.5 μB per formula unit

Cell: 6.626 6.626 6.626 Å, 90.00 90.00 90.00°
Space group F-43m (No. 216)
Inequivalent atoms, fractional coordinates:
Fe 0.000 0.000 0.000 [4 per cell]
Fe 0.125 0.125 0.625 [16 per cell]
P 0.250 0.250 0.250 [4 per cell]

---

First-principles (PBE-GGA) data for a relaxed structure of K2RbHg3, as listed in Alexandria.

Values from the calculation:
**Crystal system**: orthorhombic
**DFT total energy**: -10.5 eV/cell
**M_tot**: 0.0 μB per formula unit

Cell: 6.097 18.406 4.256 Å, 90.00 90.00 90.00°
Space group Cmmm (No. 65)
Inequivalent atoms, fractional coordinates:
K 0.000 0.165 0.000 [4 per cell]
Rb 0.000 0.500 0.000 [2 per cell]
Hg 0.000 0.000 0.500 [2 per cell]
Hg 0.000 0.325 0.500 [4 per cell]

---

First-principles (PBE-GGA) data for a relaxed structure of Sr2MnSnN, as listed in Alexandria.

Values from the calculation:
**Crystal system**: tetragonal
**DFT total energy**: -27.1 eV/cell
**M_tot**: 3.9 μB per formula unit

Cell: 5.644 5.644 3.820 Å, 90.00 90.00 90.00°
Space group P4/mmm (No. 123)
Inequivalent atoms, fractional coordinates:
Sr 0.000 0.500 0.000 [2 per cell]
Mn 0.000 0.000 0.500 [1 per cell]
Sn 0.500 0.500 0.500 [1 per cell]
N 0.000 0.000 0.000 [1 per cell]

---

First-principles (PBE-GGA) data for a relaxed structure of NiMoPt, as listed in Alexandria.

Values from the calculation:
**Crystal system**: orthorhombic
**DFT total energy**: -46.8 eV/cell
**M_tot**: 0.0 μB per formula unit

Cell: 2.734 3.807 8.093 Å, 90.00 90.00 90.00°
Space group Imm2 (No. 44)
Inequivalent atoms, fractional coordinates:
Ni 0.000 0.000 0.000 [2 per cell]
Mo 0.000 0.000 0.342 [2 per cell]
Pt 0.000 0.000 0.669 [2 per cell]